Computed, not measured: an optimized crystal structure of Cu2Se at the PBE level of DFT.

Cell: 5.921 5.921 5.921 Å, 90.00 90.00 90.00°
Positions (direct):
1 Cu 0.639 0.639 0.361
2 Cu 0.361 0.361 0.639
3 Cu 0.139 0.861 0.639
4 Cu 0.861 0.139 0.361
5 Cu 0.361 0.139 0.139
6 Cu 0.639 0.861 0.861
7 Cu 0.861 0.361 0.861
8 Cu 0.139 0.639 0.139
9 Se 0.000 0.000 0.000
10 Se 0.500 0.500 0.000
11 Se 0.500 0.000 0.500
12 Se 0.000 0.500 0.500

DFT total energy	-3.793	eV per atom
raw formation energy	0.10	eV per atom
N(E_F)	2.4	states/eV/cell